(a)
A relaxed structure of BaHPb2. Source: Alexandria, functional PBE.

```
data_BaHPb2
_symmetry_space_group_name_H-M 'F m -3 m'
_symmetry_Int_Tables_number 225
_symmetry_space_group_name_Hall '-F 4 2 3'
_cell_length_a 7.900
_cell_length_b 7.900
_cell_length_c 7.900
_cell_angle_alpha 90.00
_cell_angle_beta 90.00
_cell_angle_gamma 90.00
loop_
_atom_site_label
_atom_site_type_symbol
_atom_site_fract_x
_atom_site_fract_y
_atom_site_fract_z
_atom_site_occupancy
Ba1 Ba 0.000 0.000 0.000 1
H1 H 0.000 0.000 0.500 1
Pb1 Pb 0.250 0.250 0.250 1
```

Results
The calculation puts the spin magnetization at 0.000 μB/cell.



(b)
A relaxed structure of BaHPb2. Source: Alexandria, functional PBE.

```
data_BaHPb2
_symmetry_space_group_name_H-M 'I -4 2 d'
_symmetry_Int_Tables_number 122
_symmetry_space_group_name_Hall 'I -4 2bw'
_cell_length_a 6.981
_cell_length_b 6.981
_cell_length_c 10.266
_cell_angle_alpha 90.00
_cell_angle_beta 90.00
_cell_angle_gamma 90.00
loop_
_atom_site_label
_atom_site_type_symbol
_atom_site_fract_x
_atom_site_fract_y
_atom_site_fract_z
_atom_site_occupancy
Ba1 Ba 0.000 0.000 0.000 1
H1 H 0.000 0.000 0.500 1
Pb1 Pb 0.036 0.250 0.625 1
```

Results
The calculation puts the spin magnetization at 0.000 μB/cell.



Relative energies, unit kJ/mol of atoms: (a) 43.6; (b) 0.0



(a)
A relaxed structure of Ba2H2Pb. Source: Alexandria, functional PBE.

```
data_Ba2H2Pb
_symmetry_space_group_name_H-M 'P 4/m b m'
_symmetry_Int_Tables_number 127
_symmetry_space_group_name_Hall '-P 4 2ab'
_cell_length_a 8.521
_cell_length_b 8.521
_cell_length_c 3.519
_cell_angle_alpha 90.00
_cell_angle_beta 90.00
_cell_angle_gamma 90.00
loop_
_atom_site_label
_atom_site_type_symbol
_atom_site_fract_x
_atom_site_fract_y
_atom_site_fract_z
_atom_site_occupancy
Ba1 Ba 0.157 0.343 0.000 1
H1 H 0.100 0.600 0.500 1
Pb1 Pb 0.000 0.000 0.500 1
```

Results
The calculation puts the spin magnetization at 0.000 μB/cell.



(b)
A relaxed structure of Ba2H2Pb. Source: Alexandria, functional PBE.

```
data_Ba2H2Pb
_symmetry_space_group_name_H-M 'C 1 2/c 1'
_symmetry_Int_Tables_number 15
_symmetry_space_group_name_Hall '-C 2yc'
_cell_length_a 18.376
_cell_length_b 3.746
_cell_length_c 7.492
_cell_angle_alpha 90.00
_cell_angle_beta 101.74
_cell_angle_gamma 90.00
loop_
_atom_site_label
_atom_site_type_symbol
_atom_site_fract_x
_atom_site_fract_y
_atom_site_fract_z
_atom_site_occupancy
Ba1 Ba 0.149 0.000 0.074 1
H1 H 0.201 0.500 0.350 1
Pb1 Pb 0.000 0.499 0.250 1
```

Results
The calculation puts the spin magnetization at 0.000 μB/cell.



(c)
A relaxed structure of Ba2H2Pb. Source: Alexandria, functional PBE.

```
data_Ba2H2Pb
_symmetry_space_group_name_H-M 'I 4/m m m'
_symmetry_Int_Tables_number 139
_symmetry_space_group_name_Hall '-I 4 2'
_cell_length_a 4.204
_cell_length_b 4.204
_cell_length_c 16.117
_cell_angle_alpha 90.00
_cell_angle_beta 90.00
_cell_angle_gamma 90.00
loop_
_atom_site_label
_atom_site_type_symbol
_atom_site_fract_x
_atom_site_fract_y
_atom_site_fract_z
_atom_site_occupancy
Ba1 Ba 0.000 0.000 0.152 1
H1 H 0.000 0.500 0.250 1
Pb1 Pb 0.000 0.000 0.500 1
```

Results
The calculation puts the spin magnetization at 0.000 μB/cell.



Relative energies, unit kJ/mol of atoms: (a) 21.7; (b) 3.4; (c) 0.0



(a)
A relaxed structure of Ba4HPb2. Source: Alexandria, functional PBE.

```
data_Ba4HPb2
_symmetry_space_group_name_H-M 'I 4/m m m'
_symmetry_Int_Tables_number 139
_symmetry_space_group_name_Hall '-I 4 2'
_cell_length_a 5.428
_cell_length_b 5.428
_cell_length_c 18.983
_cell_angle_alpha 90.00
_cell_angle_beta 90.00
_cell_angle_gamma 90.00
loop_
_atom_site_label
_atom_site_type_symbol
_atom_site_fract_x
_atom_site_fract_y
_atom_site_fract_z
_atom_site_occupancy
Ba1 Ba 0.000 0.000 0.182 1
Ba2 Ba 0.000 0.500 0.000 1
H1 H 0.000 0.000 0.000 1
Pb1 Pb 0.000 0.000 0.369 1
```

Results
The calculation puts the spin magnetization at 0.000 μB/cell.



(b)
A relaxed structure of Ba4HPb2. Source: Alexandria, functional PBE.

```
data_Ba4HPb2
_symmetry_space_group_name_H-M 'P 1 21/m 1'
_symmetry_Int_Tables_number 11
_symmetry_space_group_name_Hall '-P 2yb'
_cell_length_a 7.116
_cell_length_b 7.985
_cell_length_c 10.384
_cell_angle_alpha 90.00
_cell_angle_beta 106.70
_cell_angle_gamma 90.00
loop_
_atom_site_label
_atom_site_type_symbol
_atom_site_fract_x
_atom_site_fract_y
_atom_site_fract_z
_atom_site_occupancy
Ba1 Ba 0.176 0.250 0.066 1
Ba2 Ba 0.259 0.502 0.731 1
Ba3 Ba 0.278 0.750 0.367 1
H1 H 0.081 0.250 0.797 1
Pb1 Pb 0.207 0.250 0.421 1
Pb2 Pb 0.361 0.750 0.038 1
```

Results
The calculation puts the spin magnetization at 0.000 μB/cell.



Relative energies, unit kJ/mol of atoms: (a) 0.0; (b) 1.2



(a)
A relaxed structure of Ba2HRhPb. Source: Alexandria, functional PBE.

```
data_Ba2HRhPb
_symmetry_space_group_name_H-M 'P 1 21/m 1'
_symmetry_Int_Tables_number 11
_symmetry_space_group_name_Hall '-P 2yb'
_cell_length_a 7.381
_cell_length_b 4.206
_cell_length_c 10.109
_cell_angle_alpha 90.00
_cell_angle_beta 109.06
_cell_angle_gamma 90.00
loop_
_atom_site_label
_atom_site_type_symbol
_atom_site_fract_x
_atom_site_fract_y
_atom_site_fract_z
_atom_site_occupancy
Ba1 Ba 0.223 0.250 0.394 1
Ba2 Ba 0.243 0.250 0.968 1
H1 H 0.144 0.750 0.145 1
Rh1 Rh 0.388 0.750 0.221 1
Pb1 Pb 0.338 0.750 0.705 1
```

Results
The calculation puts the spin magnetization at 0.000 μB/cell.



(b)
A relaxed structure of Ba2HRhPb. Source: Alexandria, functional PBE.

```
data_Ba2HRhPb
_symmetry_space_group_name_H-M 'P 4/m m m'
_symmetry_Int_Tables_number 123
_symmetry_space_group_name_Hall '-P 4 2'
_cell_length_a 6.017
_cell_length_b 6.017
_cell_length_c 3.732
_cell_angle_alpha 90.00
_cell_angle_beta 90.00
_cell_angle_gamma 90.00
loop_
_atom_site_label
_atom_site_type_symbol
_atom_site_fract_x
_atom_site_fract_y
_atom_site_fract_z
_atom_site_occupancy
Ba1 Ba 0.000 0.500 0.000 1
H1 H 0.000 0.000 0.000 1
Rh1 Rh 0.000 0.000 0.500 1
Pb1 Pb 0.500 0.500 0.500 1
```

Results
The calculation puts the spin magnetization at 0.000 μB/cell.



Relative energies, unit kJ/mol of atoms: (a) 0.0; (b) 13.0



(a)
A relaxed structure of BaHPd2. Source: Alexandria, functional PBE.

```
data_BaHPd2
_symmetry_space_group_name_H-M 'I 41/a m d'
_symmetry_Int_Tables_number 141
_cell_length_a 5.950
_cell_length_b 5.950
_cell_length_c 8.401
_cell_angle_alpha 90.00
_cell_angle_beta 90.00
_cell_angle_gamma 90.00
loop_
_symmetry_equiv_pos_as_xyz
'x,y,z'
'-x,-y,-z'
'-y+1/4,x+3/4,z+1/4'
'y+1/4,-x+3/4,-z+1/4'
'-x+1/2,-y,z+1/2'
'x+1/2,y,-z+1/2'
'y+1/4,-x+1/4,z+3/4'
'-y+1/4,x+1/4,-z+3/4'
'x,-y,-z'
'-x,y,z'
'-y+1/4,-x+1/4,-z+3/4'
'y+1/4,x+1/4,z+3/4'
'-x+1/2,y,-z+1/2'
'x+1/2,-y,z+1/2'
'y+1/4,x+3/4,-z+1/4'
'-y+1/4,-x+3/4,z+1/4'
'x+1/2,y+1/2,z+1/2'
'-x+1/2,-y+1/2,-z+1/2'
'-y+3/4,x+1/4,z+3/4'
'y+3/4,-x+1/4,-z+3/4'
'-x,-y+1/2,z'
'x,y+1/2,-z'
'y+3/4,-x+3/4,z+1/4'
'-y+3/4,x+3/4,-z+1/4'
'x+1/2,-y+1/2,-z+1/2'
'-x+1/2,y+1/2,z+1/2'
'-y+3/4,-x+3/4,-z+1/4'
'y+3/4,x+3/4,z+1/4'
'-x,y+1/2,-z'
'x,-y+1/2,z'
'y+3/4,x+1/4,-z+3/4'
'-y+3/4,-x+1/4,z+3/4'
loop_
_atom_site_label
_atom_site_type_symbol
_atom_site_fract_x
_atom_site_fract_y
_atom_site_fract_z
_atom_site_occupancy
Ba1 Ba 0.000 0.250 0.375 1
H1 H 0.000 0.250 0.875 1
Pd1 Pd 0.000 0.000 0.000 1
```

Results
The calculation puts the spin magnetization at 0.000 μB/cell.



(b)
A relaxed structure of BaHPd2. Source: Alexandria, functional PBE.

```
data_BaHPd2
_symmetry_space_group_name_H-M 'R -3 m'
_symmetry_Int_Tables_number 166
_symmetry_space_group_name_Hall '-R 3 2"'
_cell_length_a 3.3312
_cell_length_b 3.3312
_cell_length_c 22.8641
_cell_angle_alpha 90.00
_cell_angle_beta 90.00
_cell_angle_gamma 120.00
loop_
_atom_site_label
_atom_site_type_symbol
_atom_site_fract_x
_atom_site_fract_y
_atom_site_fract_z
_atom_site_occupancy
Ba1 Ba 0.0000 0.0000 0.0000 1
H1 H 0.0000 0.0000 0.5000 1
Pd1 Pd 0.0000 0.0000 0.1229 1
```

Results
The calculation puts the spin magnetization at 0.000 μB/cell.



(c)
A relaxed structure of BaHPd2. Source: Alexandria, functional PBE.

```
data_BaHPd2
_symmetry_space_group_name_H-M 'F m -3 m'
_symmetry_Int_Tables_number 225
_symmetry_space_group_name_Hall '-F 4 2 3'
_cell_length_a 6.872
_cell_length_b 6.872
_cell_length_c 6.872
_cell_angle_alpha 90.00
_cell_angle_beta 90.00
_cell_angle_gamma 90.00
loop_
_atom_site_label
_atom_site_type_symbol
_atom_site_fract_x
_atom_site_fract_y
_atom_site_fract_z
_atom_site_occupancy
Ba1 Ba 0.000 0.000 0.000 1
H1 H 0.000 0.000 0.500 1
Pd1 Pd 0.250 0.250 0.250 1
```

Results
The calculation puts the spin magnetization at 0.000 μB/cell.



Relative energies, unit kJ/mol of atoms: (a) 0.0; (b) 75.2; (c) 83.4